(1)
# Ba6P2Au

An optimized crystal structure of Ba6P2Au (PBE, the Alexandria database).

## Properties
* DOS at the Fermi energy: 0.6680 states/eV/atom
* total DFT energy (no corrections): -3.544 eV per atom
* V: 908 Å³ per cell
* energy of formation from the pure elements: -0.70 eV per atom

Cell: 20.6726 4.6915 9.6156 Å, 90.00 103.21 90.00°
Space group C2/m (No. 12)
Inequivalent atoms, fractional coordinates:
1 Ba 0.0104 0.0000 0.2478 [4 per cell]
2 Ba 0.1639 0.5000 0.1096 [4 per cell]
3 Ba 0.1732 0.5000 0.5681 [4 per cell]
4 P 0.1680 0.0000 0.3400 [4 per cell]
5 Au 0.0000 0.5000 0.0000 [2 per cell]


(2)
# Ba3PAu

An optimized crystal structure of Ba3PAu (PBE, the Alexandria database).

## Properties
* distance to the lowest polymorph of the same formula: 51 kJ/mol of formula units
* DOS at the Fermi energy: 1.0416 states/eV/atom
* total DFT energy (no corrections): -3.517 eV per atom
* V: 491 Å³ per cell
* energy of formation from the pure elements: -0.63 eV per atom

Cell: 8.3217 4.9455 12.2274 Å, 90.00 102.68 90.00°
Space group P2_1/m (No. 11)
Inequivalent atoms, fractional coordinates:
1 Ba 0.0407 0.2500 0.1512 [2 per cell]
2 Ba 0.2133 0.2500 0.5243 [2 per cell]
3 Ba 0.4422 0.7500 0.8457 [2 per cell]
4 P 0.1321 0.7500 0.6522 [2 per cell]
5 Au 0.2772 0.7500 0.0808 [2 per cell]


(3)
# BaPAu2

An optimized crystal structure of BaPAu2 (PBE, the Alexandria database).

## Properties
* DOS at the Fermi energy: 0.4129 states/eV/atom
* total DFT energy (no corrections): -4.013 eV per atom
* V: 113 Å³ per cell
* energy of formation from the pure elements: -0.54 eV per atom

Cell: 4.3886 4.8419 5.2952 Å, 90.00 90.00 90.00°
Space group Pmm2 (No. 25)
Inequivalent atoms, fractional coordinates:
1 Ba 0.0000 0.0000 0.0000 [1 per cell]
2 P 0.5000 0.5000 0.2336 [1 per cell]
3 Au 0.0000 0.5000 0.4489 [1 per cell]
4 Au 0.5000 0.5000 0.7711 [1 per cell]


(4)
# BaPAu2

An optimized crystal structure of BaPAu2 (PBE, the Alexandria database).

## Properties
* DOS at the Fermi energy: 0.3541 states/eV/atom
* total DFT energy (no corrections): -4.136 eV per atom
* V: 203 Å³ per cell
* energy of formation from the pure elements: -0.66 eV per atom

Cell: 4.4988 4.4988 10.0223 Å, 90.00 90.00 90.00°
Space group I-4m2 (No. 119)
Inequivalent atoms, fractional coordinates:
1 Ba 0.0000 0.0000 0.0000 [2 per cell]
2 P 0.0000 0.5000 0.2500 [2 per cell]
3 Au 0.0000 0.0000 0.3509 [4 per cell]


Q: Which of these has the lowest V?
A: number 3


Q: Look up the DOS at the Fermi energy of the fourth one.
A: 0.3541 states/eV/atom